First-principles (PBE) data for La2TbCl8 after structural relaxation, as listed in Alexandria via LeMat-Bulk.

Unit cell a=5.907 b=7.605 c=7.605 alpha=112.71 beta=99.72 gamma=99.72
Atoms (fractional coordinates):
La: 0.000 0.309 0.691
La: 0.000 0.691 0.309
Tb: 0.500 0.000 0.000
Cl: 0.888 0.922 0.660
Cl: 0.888 0.660 0.922
Cl: 0.312 0.655 0.655
Cl: 0.500 0.788 0.212
Cl: 0.500 0.212 0.788
Cl: 0.688 0.345 0.345
Cl: 0.112 0.340 0.078
Cl: 0.112 0.078 0.340

Calculated values
Uncorrected formation energy ... -2.1119 eV/atom
Crystal system ... monoclinic
SG ... C2/m


First-principles (PBE) data for ScVInCl6 after structural relaxation, as listed in Alexandria via LeMat-Bulk.

Unit cell a=6.430 b=6.430 c=14.430 alpha=90.00 beta=90.00 gamma=120.00
Atoms (fractional coordinates):
Sc: 0.667 0.333 0.250
Sc: 0.333 0.667 0.750
V: 0.333 0.667 0.250
V: 0.667 0.333 0.750
In: 0.000 0.000 0.000
In: 0.000 0.000 0.500
Cl: 0.633 0.637 0.151
Cl: 0.004 0.367 0.151
Cl: 0.367 0.004 0.651
Cl: 0.996 0.633 0.849
Cl: 0.363 0.367 0.349
Cl: 0.004 0.637 0.349
Cl: 0.637 0.004 0.849
Cl: 0.633 0.996 0.349
Cl: 0.996 0.363 0.651
Cl: 0.363 0.996 0.151
Cl: 0.637 0.633 0.651
Cl: 0.367 0.363 0.849

Calculated values
Uncorrected formation energy ... -1.5146 eV/atom
Crystal system ... trigonal
SG ... P-31c


First-principles (PBE) data for SiNiRh after structural relaxation, as listed in Alexandria via LeMat-Bulk.

Unit cell a=3.920 b=3.920 c=3.920 alpha=60.00 beta=60.00 gamma=60.00
Atoms (fractional coordinates):
Ni: 0.750 0.750 0.750
Rh: 0.000 0.000 0.000
Si: 0.500 0.500 0.500

Calculated values
Uncorrected formation energy ... -0.1320 eV/atom
Crystal system ... cubic
SG ... F-43m


First-principles (PBE) data for BaHg2Ru after structural relaxation, as listed in Alexandria via LeMat-Bulk.

Unit cell a=6.246 b=6.246 c=6.246 alpha=146.20 beta=128.36 gamma=63.15
Atoms (fractional coordinates):
Ba: 0.250 0.750 0.500
Hg: 0.950 0.950 0.000
Hg: 0.550 0.550 0.000
Ru: 0.750 0.250 0.500

Calculated values
Crystal system ... orthorhombic
SG ... Immm
Energy relative to the elements ... 0.227 eV per atom


First-principles (PBE) data for TmSiHIr2 after structural relaxation, as listed in Alexandria via LeMat-Bulk.

Unit cell a=3.784 b=5.639 c=7.109 alpha=90.00 beta=90.00 gamma=109.60
Atoms (fractional coordinates):
Tm: 0.445 0.890 0.750
Tm: 0.555 0.110 0.250
Si: 0.725 0.450 0.750
Si: 0.275 0.550 0.250
H: 0.000 0.000 0.000
H: 0.000 0.000 0.500
Ir: 0.158 0.317 0.946
Ir: 0.842 0.683 0.054
Ir: 0.158 0.317 0.554
Ir: 0.842 0.683 0.446

Calculated values
Crystal system ... orthorhombic
SG ... Cmcm


First-principles (PBE) data for Ce2DyPuS5 after structural relaxation, as listed in Alexandria via LeMat-Bulk.

Unit cell a=4.904 b=4.904 c=10.464 alpha=90.00 beta=90.00 gamma=90.00
Atoms (fractional coordinates):
Ce: 0.500 0.500 0.296
Ce: 0.500 0.500 0.704
Dy: 0.000 0.000 0.500
Pu: 0.000 0.000 0.000
S: 0.000 0.500 0.500
S: 0.500 0.000 0.500
S: 0.000 0.000 0.752
S: 0.000 0.000 0.248
S: 0.500 0.500 0.000

Calculated values
Uncorrected formation energy ... -1.4179 eV/atom
Crystal system ... tetragonal
SG ... P4/mmm


First-principles (PBE) data for Ta3RhI after structural relaxation, as listed in Alexandria via LeMat-Bulk.

Unit cell a=4.894 b=4.894 c=4.894 alpha=90.00 beta=90.00 gamma=90.00
Atoms (fractional coordinates):
I: 0.500 0.500 0.500
Rh: 0.000 0.000 0.000
Ta: 0.000 0.500 0.000
Ta: 0.000 0.000 0.500
Ta: 0.500 0.000 0.000

Calculated values
E above lowest polymorph ... 0 meV per atom
Uncorrected formation energy ... 1.2526 eV/atom
Crystal system ... cubic
SG ... Pm-3m


First-principles (PBE) data for Ac3In2Hg9 after structural relaxation, as listed in Alexandria via LeMat-Bulk.

Unit cell a=5.057 b=10.436 c=9.338 alpha=123.97 beta=105.60 gamma=90.00
Atoms (fractional coordinates):
Ac: 0.000 0.000 0.000
Ac: 0.292 0.292 0.584
Ac: 0.708 0.708 0.416
In: 0.500 0.321 0.000
In: 0.500 0.679 0.000
Hg: 0.000 0.500 0.000
Hg: 0.347 0.985 0.697
Hg: 0.653 0.015 0.303
Hg: 0.347 0.712 0.697
Hg: 0.653 0.288 0.303
Hg: 0.148 0.864 0.295
Hg: 0.852 0.136 0.705
Hg: 0.148 0.431 0.295
Hg: 0.852 0.569 0.705

Calculated values
Crystal system ... monoclinic
SG ... C2/m
Energy relative to the elements ... -0.337 eV per atom


First-principles (PBE) data for Lu6Nb4Al43 after structural relaxation, as listed in Alexandria via LeMat-Bulk.

Unit cell a=11.091 b=11.091 c=17.653 alpha=90.00 beta=90.00 gamma=120.00
Atoms (fractional coordinates):
Lu: 0.530 0.000 0.596
Lu: 0.470 0.000 0.404
Lu: 0.000 0.530 0.596
Lu: 0.470 0.000 0.096
Lu: 0.000 0.530 0.904
Lu: 0.000 0.470 0.404
Lu: 0.530 0.000 0.904
Lu: 0.000 0.470 0.096
Lu: 0.470 0.470 0.596
Lu: 0.530 0.530 0.404
Lu: 0.530 0.530 0.096
Lu: 0.470 0.470 0.904
Nb: 0.000 0.000 0.500
Nb: 0.000 0.000 0.000
Nb: 0.726 0.000 0.750
Nb: 0.274 0.000 0.250
Nb: 0.000 0.726 0.750
Nb: 0.000 0.274 0.250
Nb: 0.274 0.274 0.750
Nb: 0.726 0.726 0.250
Al: 0.150 0.594 0.750
Al: 0.850 0.406 0.250
Al: 0.406 0.555 0.750
Al: 0.594 0.150 0.750
Al: 0.594 0.445 0.250
Al: 0.406 0.850 0.250
Al: 0.445 0.850 0.750
Al: 0.555 0.406 0.750
Al: 0.555 0.150 0.250
Al: 0.445 0.594 0.250
Al: 0.850 0.445 0.750
Al: 0.150 0.555 0.250
Al: 0.159 0.000 0.115
Al: 0.841 0.000 0.885
Al: 0.000 0.159 0.115
Al: 0.841 0.000 0.615
Al: 0.000 0.159 0.385
Al: 0.000 0.841 0.885
Al: 0.159 0.000 0.385
Al: 0.000 0.841 0.615
Al: 0.841 0.841 0.115
Al: 0.159 0.159 0.885
Al: 0.159 0.159 0.615
Al: 0.841 0.841 0.385
Al: 0.247 0.494 0.500
Al: 0.753 0.506 0.500
Al: 0.506 0.753 0.500
Al: 0.753 0.506 0.000
Al: 0.494 0.247 0.000
Al: 0.494 0.247 0.500
Al: 0.247 0.494 0.000
Al: 0.506 0.753 0.000
Al: 0.247 0.753 0.500
Al: 0.753 0.247 0.500
Al: 0.753 0.247 0.000
Al: 0.247 0.753 0.000
Al: 0.149 0.000 0.750
Al: 0.851 0.000 0.250
Al: 0.000 0.149 0.750
Al: 0.000 0.851 0.250
Al: 0.851 0.851 0.750
Al: 0.149 0.149 0.250
Al: 0.333 0.667 0.625
Al: 0.667 0.333 0.375
Al: 0.667 0.333 0.125
Al: 0.667 0.333 0.875
Al: 0.333 0.667 0.875
Al: 0.333 0.667 0.125
Al: 0.333 0.667 0.375
Al: 0.667 0.333 0.625
Al: 0.257 0.000 0.529
Al: 0.743 0.000 0.471
Al: 0.000 0.257 0.529
Al: 0.743 0.000 0.029
Al: 0.000 0.257 0.971
Al: 0.000 0.743 0.471
Al: 0.257 0.000 0.971
Al: 0.000 0.743 0.029
Al: 0.743 0.743 0.529
Al: 0.257 0.257 0.471
Al: 0.257 0.257 0.029
Al: 0.743 0.743 0.971
Al: 0.158 0.396 0.662
Al: 0.842 0.604 0.338
Al: 0.604 0.763 0.662
Al: 0.842 0.604 0.162
Al: 0.396 0.158 0.838
Al: 0.396 0.237 0.338
Al: 0.158 0.396 0.838
Al: 0.604 0.842 0.162
Al: 0.237 0.842 0.662
Al: 0.396 0.237 0.162
Al: 0.763 0.604 0.838
Al: 0.763 0.158 0.338
Al: 0.604 0.763 0.838
Al: 0.237 0.396 0.162
Al: 0.604 0.842 0.338
Al: 0.396 0.158 0.662
Al: 0.763 0.158 0.162
Al: 0.237 0.396 0.338
Al: 0.237 0.842 0.838
Al: 0.763 0.604 0.662
Al: 0.842 0.237 0.838
Al: 0.158 0.763 0.162
Al: 0.158 0.763 0.338
Al: 0.842 0.237 0.662

Calculated values
Crystal system ... hexagonal
SG ... P6_3/mcm
Energy relative to the elements ... -0.316 eV per atom


First-principles (PBE) data for LiScPCl2 after structural relaxation, as listed in Alexandria via LeMat-Bulk.

Unit cell a=4.338 b=4.338 c=5.239 alpha=90.00 beta=90.00 gamma=90.00
Atoms (fractional coordinates):
Sc: 0.500 0.500 0.500
P: 0.000 0.000 0.500
Li: 0.000 0.000 0.000
Cl: 0.000 0.500 0.000
Cl: 0.500 0.000 0.000

Calculated values
E above lowest polymorph ... 344 meV per atom
Uncorrected formation energy ... -0.6490 eV/atom
Crystal system ... tetragonal
SG ... P4/mmm


First-principles (PBE) data for NaLi after structural relaxation, as listed in Alexandria via LeMat-Bulk.

Unit cell a=6.821 b=6.821 c=6.821 alpha=90.00 beta=90.00 gamma=90.00
Atoms (fractional coordinates):
Na: 0.000 0.000 0.000
Na: 0.000 0.500 0.500
Na: 0.500 0.000 0.500
Na: 0.500 0.500 0.000
Li: 0.250 0.250 0.250
Li: 0.250 0.750 0.750
Li: 0.750 0.250 0.750
Li: 0.750 0.750 0.250

Calculated values
E above lowest polymorph ... 442 meV per atom
Crystal system ... cubic
SG ... F-43m
Energy relative to the elements ... 0.481 eV per atom


First-principles (PBE) data for LiPmHo2Pd4 after structural relaxation, as listed in Alexandria via LeMat-Bulk.

Unit cell a=4.875 b=4.875 c=8.428 alpha=73.19 beta=73.19 gamma=60.00
Atoms (fractional coordinates):
Li: 0.500 0.500 0.500
Pm: 0.000 0.000 0.000
Ho: 0.759 0.759 0.722
Ho: 0.241 0.241 0.278
Pd: 0.381 0.381 0.857
Pd: 0.878 0.878 0.367
Pd: 0.122 0.122 0.633
Pd: 0.619 0.619 0.143

Calculated values
Crystal system ... trigonal
SG ... R-3m
Energy relative to the elements ... -0.760 eV per atom


First-principles (PBE) data for Er4SnBi3 after structural relaxation, as listed in Alexandria via LeMat-Bulk.

Unit cell a=6.263 b=6.263 c=6.263 alpha=90.00 beta=90.00 gamma=90.00
Atoms (fractional coordinates):
Bi: 0.000 0.500 0.500
Bi: 0.500 0.000 0.500
Bi: 0.500 0.500 0.000
Sn: 0.000 0.000 0.000
Er: 0.500 0.000 0.000
Er: 0.000 0.500 0.000
Er: 0.000 0.000 0.500
Er: 0.500 0.500 0.500

Calculated values
Crystal system ... cubic
SG ... Pm-3m
Energy relative to the elements ... -0.726 eV per atom


First-principles (PBE) data for Na2Tc2As2N after structural relaxation, as listed in Alexandria via LeMat-Bulk.

Unit cell a=4.068 b=4.068 c=7.989 alpha=104.75 beta=104.75 gamma=90.00
Atoms (fractional coordinates):
Na: 0.175 0.175 0.351
Na: 0.825 0.825 0.649
Tc: 0.000 0.500 0.000
Tc: 0.500 0.000 0.000
As: 0.385 0.385 0.770
As: 0.615 0.615 0.230
N: 0.000 0.000 0.000

Calculated values
Uncorrected formation energy ... -0.2620 eV/atom
Crystal system ... tetragonal
SG ... I4/mmm


First-principles (PBE) data for ScTaTe2 after structural relaxation, as listed in Alexandria via LeMat-Bulk.

Unit cell a=6.433 b=6.433 c=6.433 alpha=143.62 beta=143.62 gamma=52.40
Atoms (fractional coordinates):
Sc: 0.500 0.500 0.000
Ta: 0.750 0.250 0.500
Te: 0.000 0.000 0.000
Te: 0.250 0.750 0.500

Calculated values
E above lowest polymorph ... 590 meV per atom
Uncorrected formation energy ... 0.0502 eV/atom
Crystal system ... tetragonal
SG ... I-4m2


First-principles (PBE) data for Na2Cu2AgBr6 after structural relaxation, as listed in Alexandria via LeMat-Bulk.

Unit cell a=7.268 b=7.268 c=7.169 alpha=90.00 beta=90.00 gamma=120.00
Atoms (fractional coordinates):
Na: 0.667 0.333 0.602
Na: 0.333 0.667 0.398
Cu: 0.333 0.667 0.820
Cu: 0.667 0.333 0.180
Ag: 0.000 0.000 0.000
Br: 0.032 0.333 0.765
Br: 0.667 0.698 0.765
Br: 0.302 0.968 0.765
Br: 0.968 0.667 0.235
Br: 0.333 0.302 0.235
Br: 0.698 0.032 0.235

Calculated values
Uncorrected formation energy ... -0.6766 eV/atom
Crystal system ... trigonal
SG ... P-3


First-principles (PBE) data for Ba3PrNd3Te8 after structural relaxation, as listed in Alexandria via LeMat-Bulk.

Unit cell a=9.218 b=9.212 c=9.630 alpha=118.55 beta=90.01 gamma=119.99
Atoms (fractional coordinates):
Ba: 0.000 0.000 0.000
Ba: 0.000 0.500 0.000
Ba: 0.500 0.500 0.000
Pr: 0.000 0.000 0.500
Nd: 0.500 0.000 0.500
Nd: 0.500 0.500 0.500
Nd: 0.000 0.500 0.500
Te: 0.258 0.517 0.275
Te: 0.742 0.483 0.725
Te: 0.756 0.512 0.275
Te: 0.244 0.488 0.725
Te: 0.756 0.019 0.275
Te: 0.244 0.981 0.725
Te: 0.263 0.019 0.275
Te: 0.737 0.981 0.725

Calculated values
Uncorrected formation energy ... -1.5763 eV/atom
Crystal system ... monoclinic
SG ... C2/m


First-principles (PBE) data for Nd2Zn2Pd5Au after structural relaxation, as listed in Alexandria via LeMat-Bulk.

Unit cell a=3.905 b=9.711 c=9.711 alpha=90.00 beta=90.00 gamma=90.00
Atoms (fractional coordinates):
Nd: 0.000 0.681 0.181
Nd: 0.000 0.319 0.819
Nd: 0.000 0.181 0.319
Nd: 0.000 0.819 0.681
Zn: 0.000 0.116 0.616
Zn: 0.000 0.884 0.384
Zn: 0.000 0.616 0.884
Zn: 0.000 0.384 0.116
Pd: 0.500 0.207 0.066
Pd: 0.500 0.793 0.934
Pd: 0.500 0.066 0.793
Pd: 0.500 0.707 0.434
Pd: 0.500 0.934 0.207
Pd: 0.500 0.293 0.566
Pd: 0.500 0.566 0.707
Pd: 0.500 0.434 0.293
Pd: 0.500 0.500 0.000
Pd: 0.500 0.000 0.500
Au: 0.000 0.000 0.000
Au: 0.000 0.500 0.500

Calculated values
Crystal system ... tetragonal
SG ... P4/mbm
Energy relative to the elements ... -0.624 eV per atom


First-principles (PBE) data for K3TlPt after structural relaxation, as listed in Alexandria via LeMat-Bulk.

Unit cell a=6.157 b=6.157 c=6.157 alpha=90.00 beta=90.00 gamma=90.00
Atoms (fractional coordinates):
Tl: 0.500 0.500 0.500
K: 0.000 0.500 0.000
K: 0.000 0.000 0.500
K: 0.500 0.000 0.000
Pt: 0.000 0.000 0.000

Calculated values
E above lowest polymorph ... 264 meV per atom
Crystal system ... cubic
SG ... Pm-3m
Energy relative to the elements ... 0.169 eV per atom


Going through the records in order, we get calculated volume values of 300.2, 516.7, 42.6, 105.1, 142.9, 251.7, 117.2, 386.6, 1880.7, 98.6, 317.3, 163.5, 245.7, 123.3, 93.1, 328.0, 590.6, 368.3, 233.4 Å³/cell.
Going through the records in order, we get total DFT energy (no corrections) values of -4.772, -4.767, -6.317, -2.724, -6.939, -7.133, -7.639, -1.802, -4.625, -4.119, -1.135, -5.334, -4.963, -6.118, -6.067, -2.833, -4.909, -4.756, -2.171 eV/atom.